(1)
A plane-wave DFT calculation with PBE-GGA was carried out for a relaxed structure of Mg2Sc3Cu2.

a = 4.2761 Å, b = 20.0727 Å, c = 3.2772 Å
α = 90.00°, β = 90.00°, γ = 90.00°
With the nearest neighbours (Å) after each atom.
Space group Cmmm (No. 65)
Symmetry-distinct sites (fractional):
Mg  0.0000  0.0820  0.0000 [4 per cell]  1 Cu 2.69
Sc  0.0000  0.3257  0.5000 [4 per cell]  6 Cu 2.74-2.82
Sc  0.0000  0.5000  0.5000 [2 per cell]  8 Mg 3.16, 4 Sc 3.28-3.50
Cu  0.0000  0.2162  0.0000 [4 per cell]  2 Cu 2.53, 1 Mg 2.69, 6 Sc 2.74-2.82

Results
- ΔE_f: -0.144 eV/atom



(2)
A plane-wave DFT calculation with PBE-GGA was carried out for a relaxed structure of MgScCu.

a = 6.3727 Å, b = 6.3727 Å, c = 6.3727 Å
α = 90.00°, β = 90.00°, γ = 90.00°
With the nearest neighbours (Å) after each atom.
Space group F-43m (No. 216)
Symmetry-distinct sites (fractional):
Mg  0.0000  0.0000  0.0000 [4 per cell]  4 Sc 2.76, 4 Cu 2.76
Sc  0.2500  0.2500  0.2500 [4 per cell]  4 Mg 2.76
Cu  0.2500  0.2500  0.7500 [4 per cell]  4 Mg 2.76

Results
- ΔE_f: 0.479 eV/atom



(3)
A plane-wave DFT calculation with PBE-GGA was carried out for a relaxed structure of Mg2ScCu2.

a = 6.9162 Å, b = 6.9162 Å, c = 3.8079 Å
α = 90.00°, β = 90.00°, γ = 90.00°
With the nearest neighbours (Å) after each atom.
Space group P4/mbm (No. 127)
Symmetry-distinct sites (fractional):
Mg  0.1697  0.3303  0.0000 [4 per cell]  6 Cu 2.77-2.81
Sc  0.0000  0.0000  0.5000 [2 per cell]  4 Cu 2.74
Cu  0.1247  0.6247  0.5000 [4 per cell]  1 Cu 2.44

Results
- ΔE_f: -0.083 eV/atom
- ΔE to the lowest computed polymorph: 0.0000 eV/atom



(4)
A plane-wave DFT calculation with PBE-GGA was carried out for a relaxed structure of MgScCu.

a = 4.6532 Å, b = 8.0225 Å, c = 5.9849 Å
α = 90.00°, β = 90.00°, γ = 90.00°
With the nearest neighbours (Å) after each atom.
Space group Cmcm (No. 63)
Symmetry-distinct sites (fractional):
Mg  0.0000  0.1657  0.2500 [4 per cell]  5 Cu 2.68-2.99
Sc  0.0000  0.5000  0.0000 [4 per cell]  2 Sc 2.99, 6 Cu 3.06-3.08, 6 Mg 3.07
Cu  0.0000  0.1679  0.7500 [4 per cell]  5 Mg 2.68-2.99

Results
- ΔE_f: -0.085 eV/atom



(5)
A plane-wave DFT calculation with PBE-GGA was carried out for a relaxed structure of MgSc4Cu3.

a = 3.3366 Å, b = 4.7376 Å, c = 9.3978 Å
α = 90.00°, β = 90.00°, γ = 90.00°
With the nearest neighbours (Å) after each atom.
Space group Pmmm (No. 47)
Symmetry-distinct sites (fractional):
Mg  0.0000  0.0000  0.0000 [1 per cell]  8 Sc 2.90-3.01
Sc  0.5000  0.0000  0.2667 [2 per cell]  6 Cu 2.76-2.91, 2 Mg 3.01
Sc  0.5000  0.5000  0.0000 [1 per cell]  4 Cu 2.82, 4 Mg 2.90
Sc  0.5000  0.5000  0.5000 [1 per cell]  8 Cu 2.90-2.94, 4 Sc 3.23
Cu  0.0000  0.0000  0.5000 [1 per cell]  8 Sc 2.76-2.90
Cu  0.0000  0.5000  0.2421 [2 per cell]  8 Sc 2.82-2.94

Results
- ΔE_f: -0.176 eV/atom



(6)
A plane-wave DFT calculation with PBE-GGA was carried out for a relaxed structure of MgScCu.

a = 6.4894 Å, b = 6.4894 Å, c = 6.4894 Å
α = 90.00°, β = 90.00°, γ = 90.00°
With the nearest neighbours (Å) after each atom.
Space group F-43m (No. 216)
Symmetry-distinct sites (fractional):
Mg  0.0000  0.0000  0.0000 [4 per cell]  4 Sc 2.81
Sc  0.2500  0.2500  0.7500 [4 per cell]  4 Mg 2.81, 4 Cu 2.81
Cu  0.0000  0.0000  0.5000 [4 per cell]  4 Sc 2.81

Results
- ΔE_f: 0.526 eV/atom



(7)
A plane-wave DFT calculation with PBE-GGA was carried out for a relaxed structure of MgScCu3.

a = 4.5120 Å, b = 4.5120 Å, c = 4.5120 Å
α = 90.00°, β = 90.00°, γ = 90.00°
With the nearest neighbours (Å) after each atom.
Space group Pm-3m (No. 221)
Symmetry-distinct sites (fractional):
Mg  0.0000  0.0000  0.0000 [1 per cell]  6 Cu 2.26
Sc  0.5000  0.5000  0.5000 [1 per cell]  12 Cu 3.19
Cu  0.0000  0.0000  0.5000 [3 per cell]  2 Mg 2.26

Results
- ΔE_f: 0.584 eV/atom
- ΔE to the lowest computed polymorph: 0.0000 eV/atom



(8)
A plane-wave DFT calculation with PBE-GGA was carried out for a relaxed structure of Mg2ScCu9.

a = 4.9605 Å, b = 4.9605 Å, c = 24.1851 Å
α = 90.00°, β = 90.00°, γ = 120.00°
With the nearest neighbours (Å) after each atom.
Space group R-3m (No. 166, hexagonal axes)
Symmetry-distinct sites (fractional):
Mg  0.0000  0.0000  0.1434 [6 per cell]  12 Cu 2.87-2.93, 3 Mg 3.08
Sc  0.0000  0.0000  0.0000 [3 per cell]  18 Cu 2.86-3.21
Cu  0.0000  0.0000  0.3332 [6 per cell]  6 Cu 2.48-2.50
Cu  0.0000  0.0000  0.5000 [3 per cell]  6 Cu 2.46
Cu  0.0027  0.5013  0.9159 [18 per cell]  7 Cu 2.46-2.50

Results
- ΔE_f: -0.132 eV/atom



- Among the records above, which one has the lowest ΔE_f?
  MgSc4Cu3